A geometry-optimized Ti3AuC structure. Source: the Alexandria database, functional PBE-GGA.

It has space group Pmma (No. 51), with a = 4.7381 Å, b = 4.5804 Å, c = 6.5931 Å, α = 90.00°, β = 90.00° and γ = 90.00°. The asymmetric unit holds Ti at (0.0000, 0.0000, 0.0000), Ti at (0.2500, 0.0000, 0.3823), Ti at (0.2500, 0.5000, 0.6695), Au at (0.2500, 0.5000, 0.1390) and C at (0.2500, 0.0000, 0.6993).

The energy of formation from the pure elements is -0.3727 eV per atom. For the distance to the lowest polymorph of the same formula, the calculation gives 249 meV per atom.